Material: Sm6Ga2Ag
Method: DFT, PBE
State: relaxed

Relative energy among the computed polymorphs (meV/atom): 171.0

Lattice parameters (Å, degrees): 16.0073 7.2563 5.0149 90.00 108.13 90.00
Space group C2/m (No. 12)
One atom of each set of equivalent atoms:
1 Sm 0.0000 0.2450 0.0000 (multiplicity 4)
2 Sm 0.1677 0.2495 0.6677 (multiplicity 8)
3 Ga 0.1673 0.0000 0.1671 (multiplicity 4)
4 Ag 0.0000 0.5000 0.5000 (multiplicity 2)

Material: Sm4GaAg2
Method: DFT, PBE
State: relaxed

Lattice parameters (Å, degrees): 5.1882 5.1882 25.0131 90.00 90.00 120.00
Space group R-3m (No. 166, hexagonal axes)
One atom of each set of equivalent atoms:
1 Sm 0.0000 0.0000 0.1212 (multiplicity 6)
2 Sm 0.0000 0.0000 0.3737 (multiplicity 6)
3 Ga 0.0000 0.0000 0.5000 (multiplicity 3)
4 Ag 0.0000 0.0000 0.2468 (multiplicity 6)

Material: SmGa3Ag
Method: DFT, PBE
State: relaxed

Relative energy among the computed polymorphs (meV/atom): 166.9

Lattice parameters (Å, degrees): 4.6657 15.4898 5.6247 90.00 90.00 90.00
Space group Cmcm (No. 63)
One atom of each set of equivalent atoms:
1 Sm 0.0000 0.0912 0.2500 (multiplicity 4)
2 Ga 0.0000 0.1402 0.7500 (multiplicity 4)
3 Ga 0.0000 0.2949 0.5008 (multiplicity 8)
4 Ag 0.0000 0.4544 0.2500 (multiplicity 4)

Material: SmGa2Ag5
Method: DFT, PBE
State: relaxed

Lattice parameters (Å, degrees): 4.1110 7.7331 10.0353 90.00 90.00 90.00
Space group Immm (No. 71)
One atom of each set of equivalent atoms:
1 Sm 0.0000 0.0000 0.0000 (multiplicity 2)
2 Ga 0.0000 0.5000 0.2646 (multiplicity 4)
3 Ag 0.0000 0.1880 0.3546 (multiplicity 8)
4 Ag 0.0000 0.5000 0.0000 (multiplicity 2)

Material: Sm5Ga4Ag
Method: DFT, PBE
State: relaxed

Lattice parameters (Å, degrees): 3.6321 3.6321 18.6185 90.00 90.00 90.00
Space group P4/mmm (No. 123)
One atom of each set of equivalent atoms:
1 Sm 0.0000 0.0000 0.0000 (multiplicity 1)
2 Sm 0.0000 0.0000 0.1971 (multiplicity 2)
3 Sm 0.0000 0.0000 0.3940 (multiplicity 2)
4 Ga 0.5000 0.5000 0.0984 (multiplicity 2)
5 Ga 0.5000 0.5000 0.2983 (multiplicity 2)
6 Ag 0.5000 0.5000 0.5000 (multiplicity 1)

Material: SmGa4Ag8
Method: DFT, PBE
State: relaxed

Lattice parameters (Å, degrees): 9.4412 9.4412 5.3457 90.00 90.00 90.00
Space group I4/mmm (No. 139)
One atom of each set of equivalent atoms:
1 Sm 0.0000 0.0000 0.0000 (multiplicity 2)
2 Ga 0.2500 0.2500 0.2500 (multiplicity 8)
3 Ag 0.0000 0.2156 0.5000 (multiplicity 8)
4 Ag 0.0000 0.3480 0.0000 (multiplicity 8)

| no. | ρ (Mg/m³) | energy relative to the elements (meV per atom) |
| --- | --- | --- |
| 1 | 6.90 | -136 |
| 2 | 7.58 | -219 |
| 3 | 7.64 | -293 |
| 4 | 8.63 | -170 |
| 5 | 7.70 | -513 |
| 6 | 9.01 | -140 |